Compound: KVCd2Cl8
Source: the Alexandria database
Functional: PBE
Structure: optimized geometry

Cell: 6.3018 6.2988 8.7258 Å, 80.47 80.60 78.37°
Fractional coordinates of all 12 atoms:
Cd: 0.4347 0.4324 0.7364
Cd: 0.5653 0.5676 0.2636
Cl: 0.7540 0.7607 0.0054
Cl: 0.6717 0.6775 0.5004
Cl: 0.7554 0.1766 0.2037
Cl: 0.2460 0.2393 0.9946
Cl: 0.3283 0.3225 0.4996
Cl: 0.1724 0.7506 0.2046
Cl: 0.8276 0.2494 0.7954
Cl: 0.2446 0.8234 0.7963
K: 0.0000 0.0000 0.5000
V: 0.0000 0.0000 0.0000

Values from the calculation:
DOS(E_F) = 0.548 states/eV per atom
Magnetization = 2.00 μB/f.u.
Energy relative to the elements, uncorrected = -1.22 eV per atom